(1)
Material: NiAs2BrO
Method: DFT, PBE+U
State: optimized geometry

Cell: 4.490 4.490 4.926 Å, 90.00 90.00 90.00°
Sites, in units of the cell vectors:
Ni1 0.000 0.000 0.000
As1 0.000 0.500 0.000
As2 0.500 0.000 0.000
Br1 0.000 0.000 0.500
O1 0.500 0.500 0.500

Properties
- final energy (eV/atom) = -2.71

(2)
Material: NiAs2BrO
Method: DFT, PBE+U
State: optimized geometry

Cell: 4.059 4.059 6.784 Å, 90.00 90.00 90.00°
Sites, in units of the cell vectors:
Ni1 0.000 0.000 0.000
As1 0.000 0.500 0.500
As2 0.500 0.000 0.500
Br1 0.500 0.500 0.000
O1 0.500 0.500 0.500

Properties
- final energy (eV/atom) = -3.29

In the order shown, the computed DOS at the Fermi energy values come out to 0.825, 0.817 states/eV per atom.